# ZrZn2Mo | the Alexandria database | PBE | relaxed
# Calculated density   7.66 g/cm³
# Raw total energy   -63.52 eV/cell
data_ZrZn2Mo
_space_group_name_H-M_alt 'R 3 m'
_space_group_IT_number 160
_space_group_name_Hall 'R 3 -2"'
_cell_length_a 2.8710
_cell_length_b 2.8710
_cell_length_c 28.9696
_cell_angle_alpha 90.00
_cell_angle_beta 90.00
_cell_angle_gamma 120.00
loop_
_atom_site_label
_atom_site_type_symbol
_atom_site_fract_x
_atom_site_fract_y
_atom_site_fract_z
Zr1 Zr 0.0000 0.0000 0.0000
Zn1 Zn 0.0000 0.0000 0.2458
Zn2 Zn 0.0000 0.0000 0.5012
Mo1 Mo 0.0000 0.0000 0.7578

***

# Rb2InSeBr3 | the Alexandria database | PBE | relaxed
# Formation energy from raw total energies   -111.4 kJ/mol of atoms
# Calculated density   3.84 g/cm³
data_Rb2InSeBr3
_space_group_name_H-M_alt 'I m m m'
_space_group_IT_number 71
_space_group_name_Hall '-I 2 2'
_cell_length_a 5.2924
_cell_length_b 5.6748
_cell_length_c 17.4049
_cell_angle_alpha 90.00
_cell_angle_beta 90.00
_cell_angle_gamma 90.00
loop_
_atom_site_label
_atom_site_type_symbol
_atom_site_fract_x
_atom_site_fract_y
_atom_site_fract_z
Rb1 Rb 0.0000 0.0000 0.1366
In1 In 0.0000 0.0000 0.5000
Se1 Se 0.0000 0.5000 0.0000
Br1 Br 0.0000 0.0000 0.3382
Br2 Br 0.0000 0.5000 0.5000

***

# Dy4OsPd3 | the Alexandria database | PBE | relaxed
# Calculated density   11.44 g/cm³
# Raw total energy   -51.12 eV/cell
data_Dy4OsPd3
_space_group_name_H-M_alt 'P 4/m m m'
_space_group_IT_number 123
_space_group_name_Hall '-P 4 2'
_cell_length_a 3.4478
_cell_length_b 3.4478
_cell_length_c 14.1618
_cell_angle_alpha 90.00
_cell_angle_beta 90.00
_cell_angle_gamma 90.00
loop_
_atom_site_label
_atom_site_type_symbol
_atom_site_fract_x
_atom_site_fract_y
_atom_site_fract_z
Dy1 Dy 0.0000 0.0000 0.1175
Dy2 Dy 0.0000 0.0000 0.3732
Os1 Os 0.5000 0.5000 0.0000
Pd1 Pd 0.5000 0.5000 0.2506
Pd2 Pd 0.5000 0.5000 0.5000

***

# KAlB3 | the Alexandria database | PBE | relaxed
# Calculated density   1.50 g/cm³
# Raw total energy   -8.54 eV/cell
data_KAlB3
_space_group_name_H-M_alt 'P m -3 m'
_space_group_IT_number 221
_space_group_name_Hall '-P 4 2 3'
_cell_length_a 4.7740
_cell_length_b 4.7740
_cell_length_c 4.7740
_cell_angle_alpha 90.00
_cell_angle_beta 90.00
_cell_angle_gamma 90.00
loop_
_atom_site_label
_atom_site_type_symbol
_atom_site_fract_x
_atom_site_fract_y
_atom_site_fract_z
K1 K 0.0000 0.0000 0.0000
Al1 Al 0.5000 0.5000 0.5000
B1 B 0.0000 0.0000 0.5000

***

# VSCl3 | the Alexandria database | PBE | relaxed
# Formation energy from raw total energies   50.2 kJ/mol of atoms
# Calculated density   2.61 g/cm³
data_VSCl3
_space_group_name_H-M_alt 'P m -3 m'
_space_group_IT_number 221
_space_group_name_Hall '-P 4 2 3'
_cell_length_a 4.9361
_cell_length_b 4.9361
_cell_length_c 4.9361
_cell_angle_alpha 90.00
_cell_angle_beta 90.00
_cell_angle_gamma 90.00
loop_
_atom_site_label
_atom_site_type_symbol
_atom_site_fract_x
_atom_site_fract_y
_atom_site_fract_z
V1 V 0.0000 0.0000 0.0000
S1 S 0.5000 0.5000 0.5000
Cl1 Cl 0.0000 0.5000 0.5000

***

# Ac8Nd2Er | the Alexandria database | PBE | relaxed
# Calculated density   8.21 g/cm³
# Raw total energy   -93.09 eV/cell
data_Ac8Nd2Er
_space_group_name_H-M_alt 'C 1 2/m 1'
_space_group_IT_number 12
_cell_length_a 19.7450
_cell_length_b 5.5518
_cell_length_c 8.6980
_cell_angle_alpha 90.00
_cell_angle_beta 105.37
_cell_angle_gamma 90.00
loop_
_space_group_symop_operation_xyz
'x,y,z'
'-x,-y,-z'
'-x,y,-z'
'x,-y,z'
'x+1/2,y+1/2,z'
'-x+1/2,-y+1/2,-z'
'-x+1/2,y+1/2,-z'
'x+1/2,-y+1/2,z'
loop_
_atom_site_label
_atom_site_type_symbol
_atom_site_fract_x
_atom_site_fract_y
_atom_site_fract_z
Ac1 Ac 0.0466 0.0000 0.2304
Ac2 Ac 0.0928 0.5000 0.9506
Ac3 Ac 0.1371 0.0000 0.6863
Ac4 Ac 0.1811 0.5000 0.4137
Nd1 Nd 0.2261 0.0000 0.1334
Er1 Er 0.0000 0.5000 0.5000

***

# K3Np2VS6 | the Alexandria database | PBE | relaxed
# Formation energy from raw total energies   -122.5 kJ/mol of atoms
# Calculated density   4.67 g/cm³
data_K3Np2VS6
_space_group_name_H-M_alt 'C 1 2/m 1'
_space_group_IT_number 12
_cell_length_a 6.8241
_cell_length_b 11.8252
_cell_length_c 7.7021
_cell_angle_alpha 90.00
_cell_angle_beta 107.21
_cell_angle_gamma 90.00
loop_
_space_group_symop_operation_xyz
'x,y,z'
'-x,-y,-z'
'-x,y,-z'
'x,-y,z'
'x+1/2,y+1/2,z'
'-x+1/2,-y+1/2,-z'
'-x+1/2,y+1/2,-z'
'x+1/2,-y+1/2,z'
loop_
_atom_site_label
_atom_site_type_symbol
_atom_site_fract_x
_atom_site_fract_y
_atom_site_fract_z
K1 K 0.0000 0.0000 0.0000
K2 K 0.0000 0.3321 0.0000
Np1 Np 0.0000 0.1665 0.5000
V1 V 0.0000 0.5000 0.5000
S1 S 0.2235 0.3419 0.6959
S2 S 0.2494 0.0000 0.6960

***

# AgPb | the Alexandria database | PBE | relaxed
# Calculated density   10.27 g/cm³
# Raw total energy   -100.24 eV/cell
data_AgPb
_space_group_name_H-M_alt 'F d d d'
_space_group_IT_number 70
_cell_length_a 7.6142
_cell_length_b 9.1453
_cell_length_c 11.7109
_cell_angle_alpha 90.00
_cell_angle_beta 90.00
_cell_angle_gamma 90.00
loop_
_space_group_symop_operation_xyz
'x,y,z'
'-x,-y,-z'
'-x+1/4,-y+1/4,z'
'x+1/4,y+1/4,-z'
'x,-y+1/4,-z+1/4'
'-x,y+1/4,z+1/4'
'-x+1/4,y,-z+1/4'
'x+1/4,-y,z+1/4'
'x,y+1/2,z+1/2'
'-x,-y+1/2,-z+1/2'
'-x+1/4,-y+3/4,z+1/2'
'x+1/4,y+3/4,-z+1/2'
'x,-y+3/4,-z+3/4'
'-x,y+3/4,z+3/4'
'-x+1/4,y+1/2,-z+3/4'
'x+1/4,-y+1/2,z+3/4'
'x+1/2,y,z+1/2'
'-x+1/2,-y,-z+1/2'
'-x+3/4,-y+1/4,z+1/2'
'x+3/4,y+1/4,-z+1/2'
'x+1/2,-y+1/4,-z+3/4'
'-x+1/2,y+1/4,z+3/4'
'-x+3/4,y,-z+3/4'
'x+3/4,-y,z+3/4'
'x+1/2,y+1/2,z'
'-x+1/2,-y+1/2,-z'
'-x+3/4,-y+3/4,z'
'x+3/4,y+3/4,-z'
'x+1/2,-y+3/4,-z+1/4'
'-x+1/2,y+3/4,z+1/4'
'-x+3/4,y+1/2,-z+1/4'
'x+3/4,-y+1/2,z+1/4'
loop_
_atom_site_label
_atom_site_type_symbol
_atom_site_fract_x
_atom_site_fract_y
_atom_site_fract_z
Ag1 Ag 0.0586 0.3750 0.3750
Pb1 Pb 0.1250 0.3249 0.6250